# 1
A relaxed structure of Te2Pt, computed with PBEsol.

abc: 4.0046 12.5489 5.7660
angles: 90.00 90.00 90.00
Space group Cmcm (No. 63)
Symmetry-distinct sites (fractional):
Te (0.0000, 0.0294, 0.2500)
Te (0.0000, 0.3065, 0.2500)
Pt (0.0000, 0.3330, 0.7500)

Properties
Crystal system: orthorhombic
Fermi-level density of states in states/eV/cell: 3.57
Formation energy from raw total energies in eV per atom: -0.3469

***

# 2
A relaxed structure of TePt2, computed with PBEsol.

abc: 3.9118 15.7092 3.9149
angles: 90.00 90.00 90.00
Space group Cmcm (No. 63)
Symmetry-distinct sites (fractional):
Te (0.0000, 0.1789, 0.2500)
Pt (0.0000, 0.0623, 0.7500)
Pt (0.0000, 0.4309, 0.7500)

Properties
Crystal system: orthorhombic
Fermi-level density of states in states/eV/cell: 7.67
Formation energy from raw total energies in eV per atom: -0.1486
E above lowest polymorph in eV per formula unit: 0.032

***

# 3
A relaxed structure of Te3Pt2, computed with PBEsol.

abc: 4.0104 4.0104 50.2627
angles: 90.00 90.00 120.00
Space group R-3m (No. 166, hexagonal axes)
Symmetry-distinct sites (fractional):
Te (0.0000, 0.0000, 0.0381)
Te (0.0000, 0.0000, 0.1422)
Te (0.0000, 0.0000, 0.2452)
Pt (0.0000, 0.0000, 0.3475)
Pt (0.0000, 0.0000, 0.4488)

Properties
Crystal system: trigonal
Fermi-level density of states in states/eV/cell: 8.10
Formation energy from raw total energies in eV per atom: -0.3969

***

# 4
A relaxed structure of TePt2, computed with PBEsol.

abc: 11.3743 3.8203 5.2430
angles: 90.00 99.05 90.00
Space group C2/m (No. 12)
Symmetry-distinct sites (fractional):
Te (0.1367, 0.0000, 0.3080)
Pt (0.0208, 0.5000, 0.7585)
Pt (0.1868, 0.0000, 0.8285)

Properties
Crystal system: monoclinic
Fermi-level density of states in states/eV/cell: 5.98
Formation energy from raw total energies in eV per atom: -0.1539
E above lowest polymorph in eV per formula unit: 0.017

***

# 5
A relaxed structure of TePt2, computed with PBEsol.

abc: 3.4606 3.4606 19.0377
angles: 90.00 90.00 90.00
Space group I4_1/amd (No. 141, origin choice 2)
Symmetry-distinct sites (fractional):
Te (0.0000, 0.2500, 0.3750)
Pt (0.0000, 0.2500, 0.8024)

Properties
Crystal system: tetragonal
Fermi-level density of states in states/eV/cell: 5.60
Formation energy from raw total energies in eV per atom: 0.1183
E above lowest polymorph in eV per formula unit: 0.833

***

# 6
A relaxed structure of TiTe3Pt, computed with PBEsol.

abc: 5.2091 5.2091 5.2091
angles: 90.00 90.00 90.00
Space group Pm-3m (No. 221)
Symmetry-distinct sites (fractional):
Ti (0.0000, 0.0000, 0.0000)
Te (0.0000, 0.5000, 0.5000)
Pt (0.5000, 0.5000, 0.5000)

Properties
Crystal system: cubic
Fermi-level density of states in states/eV/cell: 8.23
Formation energy from raw total energies in eV per atom: 0.5125

***

# 7
A relaxed structure of TiTlTePt2, computed with PBEsol.

abc: 4.7866 4.7866 5.1946
angles: 90.00 90.00 90.00
Space group P4/mmm (No. 123)
Symmetry-distinct sites (fractional):
Ti (0.0000, 0.0000, 0.0000)
Tl (0.5000, 0.5000, 0.5000)
Te (0.0000, 0.0000, 0.5000)
Pt (0.0000, 0.5000, 0.0000)

Properties
Crystal system: tetragonal
Fermi-level density of states in states/eV/cell: 3.23
Formation energy from raw total energies in eV per atom: 0.3183

***

# 8
A relaxed structure of TlTe2Pt, computed with PBEsol.

abc: 3.4466 3.4466 8.3136
angles: 90.00 90.00 90.00
Space group P4/mmm (No. 123)
Symmetry-distinct sites (fractional):
Tl (0.0000, 0.0000, 0.0000)
Te (0.5000, 0.5000, 0.3086)
Pt (0.0000, 0.0000, 0.5000)

Properties
Crystal system: tetragonal
Fermi-level density of states in states/eV/cell: 2.10
Formation energy from raw total energies in eV per atom: 0.0842
E above lowest polymorph in eV per formula unit: 1.459

***

# 9
A relaxed structure of TlTe4Pt, computed with PBEsol.

abc: 8.7209 8.7209 8.7209
angles: 90.00 90.00 90.00
Space group F-43m (No. 216)
Symmetry-distinct sites (fractional):
Tl (0.0000, 0.0000, 0.0000)
Te (0.1229, 0.1229, 0.6229)
Pt (0.2500, 0.2500, 0.2500)

Properties
Crystal system: cubic
Fermi-level density of states in states/eV/cell: 12.71
Formation energy from raw total energies in eV per atom: 0.6136

***

# 10
A relaxed structure of TlTe2Pt, computed with PBEsol.

abc: 6.4126 6.4126 12.5823
angles: 90.00 90.00 90.00
Space group I-42d (No. 122)
Symmetry-distinct sites (fractional):
Tl (0.0000, 0.0000, 0.0000)
Te (0.1963, 0.2500, 0.6250)
Pt (0.0000, 0.0000, 0.5000)

Properties
Crystal system: tetragonal
Fermi-level density of states in states/eV/cell: 9.59
Formation energy from raw total energies in eV per atom: -0.0538
E above lowest polymorph in eV per formula unit: 0.907

***

# 11
A relaxed structure of TlTe2Pt, computed with PBEsol.

abc: 11.3761 3.7855 5.7039
angles: 90.00 116.90 90.00
Space group C2/m (No. 12)
Symmetry-distinct sites (fractional):
Tl (0.0000, 0.0000, 0.0000)
Te (0.1783, 0.0000, 0.6567)
Pt (0.0000, 0.5000, 0.5000)

Properties
Crystal system: monoclinic
Fermi-level density of states in states/eV/cell: 3.97
Formation energy from raw total energies in eV per atom: -0.1390
E above lowest polymorph in eV per formula unit: 0.567

***

# 12
A relaxed structure of TlTe2Pt, computed with PBEsol.

abc: 4.0270 4.0270 22.6200
angles: 90.00 90.00 120.00
Space group R-3m (No. 166, hexagonal axes)
Symmetry-distinct sites (fractional):
Tl (0.0000, 0.0000, 0.0000)
Te (0.0000, 0.0000, 0.2281)
Pt (0.0000, 0.0000, 0.5000)

Properties
Crystal system: trigonal
Fermi-level density of states in states/eV/cell: 4.73
Formation energy from raw total energies in eV per atom: -0.2807
E above lowest polymorph in eV per formula unit: 0.000

***

# 13
A relaxed structure of TePtW, computed with PBEsol.

abc: 6.2348 6.2348 6.2348
angles: 90.00 90.00 90.00
Space group F-43m (No. 216)
Symmetry-distinct sites (fractional):
Te (0.0000, 0.0000, 0.0000)
Pt (0.0000, 0.0000, 0.5000)
W (0.2500, 0.2500, 0.2500)

Properties
Crystal system: cubic
Fermi-level density of states in states/eV/cell: 13.75
Formation energy from raw total energies in eV per atom: 0.4163

***

# 14
A relaxed structure of TePt4W, computed with PBEsol.

abc: 7.4018 7.4018 7.4018
angles: 90.00 90.00 90.00
Space group F-43m (No. 216)
Symmetry-distinct sites (fractional):
Te (0.0000, 0.0000, 0.0000)
Pt (0.1244, 0.1244, 0.6244)
W (0.2500, 0.2500, 0.2500)

Properties
Crystal system: cubic
Fermi-level density of states in states/eV/cell: 19.50
Formation energy from raw total energies in eV per atom: 0.4281

***

# 15
A relaxed structure of TePtW2, computed with PBEsol.

abc: 9.5468 3.0563 4.8160
angles: 90.00 107.70 90.00
Space group Cm (No. 8)
Symmetry-distinct sites (fractional):
Te (0.0000, 0.0000, 0.0000)
Pt (0.2518, 0.5000, 0.3480)
W (0.2463, 0.0000, 0.8253)
W (0.4906, 0.0000, 0.4711)

Properties
Crystal system: monoclinic
Fermi-level density of states in states/eV/cell: 5.86
Formation energy from raw total energies in eV per atom: 0.4243